First-principles (PBE-GGA) data for a geometry-optimized InAgAs2 structure, as listed in Alexandria via LeMat-Bulk.

Cell lengths 5.2524, 2.8912, 5.6623 Å; angles 90.09, 90.00, 90.00 degrees
Fractional coordinates of all 4 atoms:
As  0.0000  0.1908  0.1009
As  0.5000  0.0545  0.1508
Ag  0.5000  0.8915  0.6471
In  0.0000  0.3632  0.6012

Computed properties:
Its density of states at the Fermi level is 2.0 states/eV per cell. As for the crystal system: monoclinic. The formation energy comes out at 0.7 eV/f.u.